one) VASP calculation (GGA-PBE) on a relaxed TbHo4Cd crystal.

Lattice parameters (Å, degrees): 8.641 14.085 6.282 90.00 109.08 90.00
Space group C2/c (No. 15)
Unique sites:
Tb1 0.000 0.089 0.250
Ho1 0.098 0.309 0.542
Ho2 0.216 0.124 0.878
Cd1 0.000 0.500 0.250

Fermi-level density of states, states/eV/atom: 1.37

***

two) VASP calculation (GGA-PBE) on a relaxed TbHo4Cd crystal.

Lattice parameters (Å, degrees): 3.547 3.547 14.100 90.00 90.00 90.00
Space group P4/mmm (No. 123)
Unique sites:
Tb1 0.000 0.000 0.000
Ho1 0.000 0.000 0.353
Ho2 0.500 0.500 0.177
Cd1 0.500 0.500 0.500

Fermi-level density of states, states/eV/atom: 1.42

***

It is two) that is the most stable of them.

***

one) VASP calculation (GGA-PBE) on a relaxed TbHoCd3 crystal.

Lattice parameters (Å, degrees): 5.719 5.719 21.816 90.00 90.00 90.00
Space group I-4m2 (No. 119)
Unique sites:
Tb1 0.000 0.000 0.000
Tb2 0.000 0.500 0.250
Ho1 0.000 0.000 0.417
Cd1 0.000 0.247 0.126
Cd2 0.000 0.500 0.530

Fermi-level density of states, states/eV/atom: 1.03

***

two) VASP calculation (GGA-PBE) on a relaxed TbHoCd3 crystal.

Lattice parameters (Å, degrees): 3.469 29.482 4.958 90.00 90.00 90.00
Space group Cmcm (No. 63)
Unique sites:
Tb1 0.000 0.075 0.250
Ho1 0.000 0.215 0.750
Cd1 0.000 0.325 0.750
Cd2 0.000 0.379 0.250
Cd3 0.000 0.476 0.250

Fermi-level density of states, states/eV/atom: 0.88

***

It is two) that is the most stable of them.

***

one) VASP calculation (GGA-PBE) on a relaxed Ho6Cd2Tc crystal.

Lattice parameters (Å, degrees): 8.4363 8.4363 3.9599 90.00 90.00 120.00
Space group P-62m (No. 189)
Unique sites:
Ho1 0.0000 0.2415 0.0000
Ho2 0.0000 0.6101 0.5000
Cd1 0.3333 0.6667 0.0000
Tc1 0.0000 0.0000 0.5000

Fermi-level density of states, states/eV/atom: 1.43

***

two) VASP calculation (GGA-PBE) on a relaxed Ho6Cd2Tc crystal.

Lattice parameters (Å, degrees): 5.121 7.126 14.738 90.00 90.00 90.00
Space group Immm (No. 71)
Unique sites:
Ho1 0.000 0.227 0.000
Ho2 0.000 0.258 0.345
Cd1 0.000 0.500 0.166
Tc1 0.000 0.500 0.500

Fermi-level density of states, states/eV/atom: 1.38

***

It is one) that is the most stable of them.

***

one) VASP calculation (GGA-PBE) on a relaxed HoThCd2 crystal.

Lattice parameters (Å, degrees): 7.592 7.592 7.592 90.00 90.00 90.00
Space group Fm-3m (No. 225)
Unique sites:
Ho1 0.000 0.000 0.000
Th1 0.000 0.000 0.500
Cd1 0.250 0.250 0.250

Fermi-level density of states, states/eV/atom: 1.49

***

two) VASP calculation (GGA-PBE) on a relaxed HoThCd2 crystal.

Lattice parameters (Å, degrees): 3.4799 3.4799 31.8744 90.00 90.00 120.00
Space group R-3m (No. 166, hexagonal axes)
Unique sites:
Ho1 0.0000 0.0000 0.0000
Th1 0.0000 0.0000 0.5000
Cd1 0.0000 0.0000 0.2537

Fermi-level density of states, states/eV/atom: 1.01

***

three) VASP calculation (GGA-PBE) on a relaxed HoThCd2 crystal.

Lattice parameters (Å, degrees): 3.516 3.516 8.665 90.00 90.00 90.00
Space group P4/mmm (No. 123)
Unique sites:
Ho1 0.000 0.000 0.000
Th1 0.000 0.000 0.500
Cd1 0.500 0.500 0.235

Fermi-level density of states, states/eV/atom: 0.95

***

It is three) that is the most stable of them.

***

one) VASP calculation (GGA-PBE) on a relaxed YHoThCd crystal.

Lattice parameters (Å, degrees): 7.760 7.760 7.760 90.00 90.00 90.00
Space group F-43m (No. 216)
Unique sites:
Y1 0.000 0.000 0.000
Ho1 0.250 0.250 0.250
Th1 0.000 0.000 0.500
Cd1 0.250 0.250 0.750

Fermi-level density of states, states/eV/atom: 1.76

***

two) VASP calculation (GGA-PBE) on a relaxed YHoThCd crystal.

Lattice parameters (Å, degrees): 3.614 3.614 8.842 90.00 90.00 90.00
Space group P4mm (No. 99)
Unique sites:
Y1 0.000 0.000 0.000
Ho1 0.000 0.000 0.459
Th1 0.500 0.500 0.727
Cd1 0.500 0.500 0.232

Fermi-level density of states, states/eV/atom: 1.32

***

It is two) that is the most stable of them.

***

one) VASP calculation (GGA-PBE) on a relaxed HoTiCd crystal.

Lattice parameters (Å, degrees): 10.909 3.172 8.355 90.00 98.42 90.00
Space group C2/m (No. 12)
Unique sites:
Ho1 0.083 0.000 0.200
Ti1 0.164 0.500 0.906
Cd1 0.159 0.000 0.601

Fermi-level density of states, states/eV/atom: 1.02

***

two) VASP calculation (GGA-PBE) on a relaxed HoTiCd crystal.

Lattice parameters (Å, degrees): 3.293 3.293 12.555 90.00 90.00 90.00
Space group I4mm (No. 107)
Unique sites:
Ho1 0.000 0.000 0.000
Ti1 0.000 0.000 0.666
Cd1 0.000 0.000 0.312

Fermi-level density of states, states/eV/atom: 0.61

***

It is two) that is the most stable of them.